Run one
Here is an optimized crystal structure of CoSbI2O from Alexandria via LeMat-Bulk. Energies are from PBE+U.

- Total moment: 0.624 μB/atom

abc: 5.7852 5.7852 3.6402
angles: 90.00 90.00 90.00
Space group P4/mmm (No. 123)
Symmetry-distinct sites (fractional):
Co 0.0000 0.0000 0.0000 [1 per cell]
Sb 0.5000 0.5000 0.5000 [1 per cell]
I 0.0000 0.5000 0.0000 [2 per cell]
O 0.0000 0.0000 0.5000 [1 per cell]

Run two
Here is an optimized crystal structure of CoSbI2O from Alexandria via LeMat-Bulk. Energies are from PBE+U.

- Total moment: 0.449 μB/atom

abc: 6.1270 6.1270 4.0149
angles: 90.00 90.00 90.00
Space group P4/mmm (No. 123)
Symmetry-distinct sites (fractional):
Co 0.0000 0.0000 0.0000 [1 per cell]
Sb 0.5000 0.5000 0.0000 [1 per cell]
I 0.0000 0.5000 0.5000 [2 per cell]
O 0.5000 0.5000 0.5000 [1 per cell]

Run three
Here is an optimized crystal structure of CoSbI2O from Alexandria via LeMat-Bulk. Energies are from PBE+U.

- Total moment: 0.638 μB/atom

abc: 6.1256 6.1256 4.0911
angles: 90.00 90.00 90.00
Space group P4/mmm (No. 123)
Symmetry-distinct sites (fractional):
Co 0.0000 0.0000 0.0000 [1 per cell]
Sb 0.5000 0.5000 0.5000 [1 per cell]
I 0.0000 0.5000 0.5000 [2 per cell]
O 0.5000 0.5000 0.0000 [1 per cell]

Computed stability ranking, most favorable first: run one, run three, run two

Run one
Here is an optimized crystal structure of ScCoI2O from Alexandria via LeMat-Bulk. Energies are from PBE+U.

- Total moment: 0.752 μB/atom

abc: 5.6268 5.6268 3.6276
angles: 90.00 90.00 90.00
Space group P4/mmm (No. 123)
Symmetry-distinct sites (fractional):
Sc 0.0000 0.0000 0.0000 [1 per cell]
Co 0.5000 0.5000 0.5000 [1 per cell]
I 0.0000 0.5000 0.5000 [2 per cell]
O 0.5000 0.5000 0.0000 [1 per cell]

Run two
Here is an optimized crystal structure of ScCoI2O from Alexandria via LeMat-Bulk. Energies are from PBE+U.

- Total moment: 0.544 μB/atom

abc: 5.8972 5.8972 3.8746
angles: 90.00 90.00 90.00
Space group P4/mmm (No. 123)
Symmetry-distinct sites (fractional):
Sc 0.0000 0.0000 0.0000 [1 per cell]
Co 0.5000 0.5000 0.5000 [1 per cell]
I 0.0000 0.5000 0.0000 [2 per cell]
O 0.0000 0.0000 0.5000 [1 per cell]

Computed stability ranking, most favorable first: run two, run one